# PBE LiMo3, optimized geometry
data_LiMo3
_cell_length_a 5.3712
_cell_length_b 8.5605
_cell_length_c 5.2079
_cell_angle_alpha 90.00
_cell_angle_beta 90.00
_cell_angle_gamma 90.00
_symmetry_space_group_name_H-M 'P 1'
_symmetry_Int_Tables_number 1
_symmetry_space_group_name_Hall 'P 1'
loop_
_atom_site_label
_atom_site_type_symbol
_atom_site_fract_x
_atom_site_fract_y
_atom_site_fract_z
_atom_site_occupancy
Li1 Li 0.0573 0.2500 0.1346 1
Li2 Li 0.4427 0.7500 0.6346 1
Li3 Li 0.5573 0.2500 0.3654 1
Li4 Li 0.9427 0.7500 0.8654 1
Mo1 Mo 0.0318 0.7500 0.3584 1
Mo2 Mo 0.2311 0.5146 0.8795 1
Mo3 Mo 0.2311 0.9854 0.8795 1
Mo4 Mo 0.2689 0.0146 0.3795 1
Mo5 Mo 0.2689 0.4854 0.3795 1
Mo6 Mo 0.4682 0.2500 0.8584 1
Mo7 Mo 0.5318 0.7500 0.1416 1
Mo8 Mo 0.7311 0.5146 0.6205 1
Mo9 Mo 0.7311 0.9854 0.6205 1
Mo10 Mo 0.7689 0.0146 0.1205 1
Mo11 Mo 0.7689 0.4854 0.1205 1
Mo12 Mo 0.9682 0.2500 0.6416 1
# Energy of formation from the pure elements   446 meV/atom

=====

# PBE SrBeAl4, optimized geometry
data_SrBeAl4
_cell_length_a 5.5735
_cell_length_b 5.5735
_cell_length_c 5.5735
_cell_angle_alpha 60.00
_cell_angle_beta 60.00
_cell_angle_gamma 60.00
_symmetry_space_group_name_H-M 'P 1'
_symmetry_Int_Tables_number 1
_symmetry_space_group_name_Hall 'P 1'
loop_
_atom_site_label
_atom_site_type_symbol
_atom_site_fract_x
_atom_site_fract_y
_atom_site_fract_z
_atom_site_occupancy
Sr1 Sr 0.0000 0.0000 0.0000 1
Be1 Be 0.2500 0.2500 0.2500 1
Al1 Al 0.1264 0.6245 0.6245 1
Al2 Al 0.6245 0.1264 0.6245 1
Al3 Al 0.6245 0.6245 0.1264 1
Al4 Al 0.6245 0.6245 0.6245 1
# Energy of formation from the pure elements   275 meV/atom

=====

# PBE LaDy3Tc, optimized geometry
data_LaDy3Tc
_cell_length_a 8.6939
_cell_length_b 3.8336
_cell_length_c 8.8095
_cell_angle_alpha 90.00
_cell_angle_beta 101.56
_cell_angle_gamma 90.00
_symmetry_space_group_name_H-M 'P 1'
_symmetry_Int_Tables_number 1
_symmetry_space_group_name_Hall 'P 1'
loop_
_atom_site_label
_atom_site_type_symbol
_atom_site_fract_x
_atom_site_fract_y
_atom_site_fract_z
_atom_site_occupancy
La1 La 0.1685 0.2500 0.0124 1
La2 La 0.8315 0.7500 0.9876 1
Dy1 Dy 0.0276 0.7500 0.6617 1
Dy2 Dy 0.3411 0.7500 0.3939 1
Dy3 Dy 0.4227 0.7500 0.8133 1
Dy4 Dy 0.5773 0.2500 0.1867 1
Dy5 Dy 0.6589 0.2500 0.6061 1
Dy6 Dy 0.9724 0.2500 0.3383 1
Tc1 Tc 0.2630 0.2500 0.6002 1
Tc2 Tc 0.7370 0.7500 0.3998 1
# Energy of formation from the pure elements   -54 meV/atom

=====

# PBE LiHfSbS4, optimized geometry
data_LiHfSbS4
_cell_length_a 7.7532
_cell_length_b 7.7532
_cell_length_c 7.7532
_cell_angle_alpha 122.29
_cell_angle_beta 119.75
_cell_angle_gamma 88.25
_symmetry_space_group_name_H-M 'P 1'
_symmetry_Int_Tables_number 1
_symmetry_space_group_name_Hall 'P 1'
loop_
_atom_site_label
_atom_site_type_symbol
_atom_site_fract_x
_atom_site_fract_y
_atom_site_fract_z
_atom_site_occupancy
Li1 Li 0.3766 0.1266 0.2500 1
Li2 Li 0.6234 0.8734 0.7500 1
Hf1 Hf 0.0000 0.0000 0.5000 1
Hf2 Hf 0.0000 0.5000 0.0000 1
Sb1 Sb 0.0000 0.5000 0.5000 1
Sb2 Sb 0.5000 0.5000 0.0000 1
S1 S 0.2228 0.7449 0.4779 1
S2 S 0.2283 0.2246 0.4963 1
S3 S 0.2283 0.7320 0.0037 1
S4 S 0.2329 0.2551 0.9779 1
S5 S 0.7671 0.7449 0.0221 1
S6 S 0.7717 0.2680 0.9963 1
S7 S 0.7717 0.7754 0.5037 1
S8 S 0.7772 0.2551 0.5221 1
# Formation energy from raw total energies   -1084 meV per atom

=====

# PBE Cs2PrZn2Se4, optimized geometry
data_Cs2PrZn2Se4
_cell_length_a 8.4217
_cell_length_b 8.4217
_cell_length_c 8.4669
_cell_angle_alpha 108.54
_cell_angle_beta 108.54
_cell_angle_gamma 30.57
_symmetry_space_group_name_H-M 'P 1'
_symmetry_Int_Tables_number 1
_symmetry_space_group_name_Hall 'P 1'
loop_
_atom_site_label
_atom_site_type_symbol
_atom_site_fract_x
_atom_site_fract_y
_atom_site_fract_z
_atom_site_occupancy
Cs1 Cs 0.1324 0.1324 0.0563 1
Cs2 Cs 0.8676 0.8676 0.9437 1
Pr1 Pr 0.0000 0.0000 0.5000 1
Zn1 Zn 0.3249 0.3249 0.5109 1
Zn2 Zn 0.6751 0.6751 0.4891 1
Se1 Se 0.1998 0.1998 0.6534 1
Se2 Se 0.4744 0.4744 0.7246 1
Se3 Se 0.5256 0.5256 0.2754 1
Se4 Se 0.8002 0.8002 0.3466 1
# Formation energy from raw total energies   -1106 meV per atom

=====

# PBE Na6Ga2Au, optimized geometry
data_Na6Ga2Au
_cell_length_a 10.3218
_cell_length_b 10.3218
_cell_length_c 10.3218
_cell_angle_alpha 29.82
_cell_angle_beta 29.82
_cell_angle_gamma 29.82
_symmetry_space_group_name_H-M 'P 1'
_symmetry_Int_Tables_number 1
_symmetry_space_group_name_Hall 'P 1'
loop_
_atom_site_label
_atom_site_type_symbol
_atom_site_fract_x
_atom_site_fract_y
_atom_site_fract_z
_atom_site_occupancy
Na1 Na 0.0758 0.0758 0.0758 1
Na2 Na 0.1948 0.1948 0.1948 1
Na3 Na 0.3094 0.3094 0.3094 1
Na4 Na 0.6906 0.6906 0.6906 1
Na5 Na 0.8052 0.8052 0.8052 1
Na6 Na 0.9242 0.9242 0.9242 1
Ga1 Ga 0.4146 0.4146 0.4146 1
Ga2 Ga 0.5854 0.5854 0.5854 1
Au1 Au 0.5000 0.5000 0.5000 1
# Energy of formation from the pure elements   -109 meV/atom

=====

# PBE TeS2O8, optimized geometry
data_TeS2O8
_cell_length_a 6.3753
_cell_length_b 6.3753
_cell_length_c 4.9279
_cell_angle_alpha 99.35
_cell_angle_beta 99.35
_cell_angle_gamma 65.86
_symmetry_space_group_name_H-M 'P 1'
_symmetry_Int_Tables_number 1
_symmetry_space_group_name_Hall 'P 1'
loop_
_atom_site_label
_atom_site_type_symbol
_atom_site_fract_x
_atom_site_fract_y
_atom_site_fract_z
_atom_site_occupancy
Te1 Te 0.0000 0.0000 0.0000 1
S1 S 0.1909 0.1909 0.6652 1
S2 S 0.8091 0.8091 0.3348 1
O1 O 0.0492 0.7052 0.2305 1
O2 O 0.1591 0.1591 0.3509 1
O3 O 0.2948 0.9508 0.7695 1
O4 O 0.3259 0.3259 0.7568 1
O5 O 0.6741 0.6741 0.2432 1
O6 O 0.7052 0.0492 0.2305 1
O7 O 0.8409 0.8409 0.6491 1
O8 O 0.9508 0.2948 0.7695 1
# Formation energy from raw total energies   -1053 meV per atom

=====

# PBE Tb2LuAg, optimized geometry
data_Tb2LuAg
_cell_length_a 5.3499
_cell_length_b 5.3499
_cell_length_c 5.3499
_cell_angle_alpha 60.00
_cell_angle_beta 60.00
_cell_angle_gamma 60.00
_symmetry_space_group_name_H-M 'P 1'
_symmetry_Int_Tables_number 1
_symmetry_space_group_name_Hall 'P 1'
loop_
_atom_site_label
_atom_site_type_symbol
_atom_site_fract_x
_atom_site_fract_y
_atom_site_fract_z
_atom_site_occupancy
Tb1 Tb 0.2500 0.2500 0.2500 1
Tb2 Tb 0.7500 0.7500 0.7500 1
Lu1 Lu 0.0000 0.0000 0.0000 1
Ag1 Ag 0.5000 0.5000 0.5000 1
# Energy of formation from the pure elements   38 meV/atom

=====

# PBE LiTbGe2, optimized geometry
data_LiTbGe2
_cell_length_a 7.8305
_cell_length_b 3.8888
_cell_length_c 10.3992
_cell_angle_alpha 90.00
_cell_angle_beta 90.00
_cell_angle_gamma 90.00
_symmetry_space_group_name_H-M 'P 1'
_symmetry_Int_Tables_number 1
_symmetry_space_group_name_Hall 'P 1'
loop_
_atom_site_label
_atom_site_type_symbol
_atom_site_fract_x
_atom_site_fract_y
_atom_site_fract_z
_atom_site_occupancy
Li1 Li 0.0174 0.2500 0.1045 1
Li2 Li 0.4826 0.7500 0.6045 1
Li3 Li 0.5174 0.2500 0.3955 1
Li4 Li 0.9826 0.7500 0.8955 1
Tb1 Tb 0.1356 0.7500 0.3622 1
Tb2 Tb 0.3644 0.2500 0.8622 1
Tb3 Tb 0.6356 0.7500 0.1378 1
Tb4 Tb 0.8644 0.2500 0.6378 1
Ge1 Ge 0.1510 0.7500 0.6889 1
Ge2 Ge 0.2329 0.7500 0.0609 1
Ge3 Ge 0.2671 0.2500 0.5609 1
Ge4 Ge 0.3490 0.2500 0.1889 1
Ge5 Ge 0.6510 0.7500 0.8111 1
Ge6 Ge 0.7329 0.7500 0.4391 1
Ge7 Ge 0.7671 0.2500 0.9391 1
Ge8 Ge 0.8490 0.2500 0.3111 1
# Energy of formation from the pure elements   -632 meV/atom

=====

# PBE Zn2InP, optimized geometry
data_Zn2InP
_cell_length_a 4.7726
_cell_length_b 4.7726
_cell_length_c 4.7726
_cell_angle_alpha 60.00
_cell_angle_beta 60.00
_cell_angle_gamma 60.00
_symmetry_space_group_name_H-M 'P 1'
_symmetry_Int_Tables_number 1
_symmetry_space_group_name_Hall 'P 1'
loop_
_atom_site_label
_atom_site_type_symbol
_atom_site_fract_x
_atom_site_fract_y
_atom_site_fract_z
_atom_site_occupancy
Zn1 Zn 0.0000 0.0000 0.0000 1
Zn2 Zn 0.2500 0.2500 0.2500 1
In1 In 0.5000 0.5000 0.5000 1
P1 P 0.7500 0.7500 0.7500 1
# Energy of formation from the pure elements   300 meV/atom

=====

# PBE VFeCo, optimized geometry
data_VFeCo
_cell_length_a 4.6036
_cell_length_b 4.6036
_cell_length_c 5.9000
_cell_angle_alpha 108.63
_cell_angle_beta 108.63
_cell_angle_gamma 36.88
_symmetry_space_group_name_H-M 'P 1'
_symmetry_Int_Tables_number 1
_symmetry_space_group_name_Hall 'P 1'
loop_
_atom_site_label
_atom_site_type_symbol
_atom_site_fract_x
_atom_site_fract_y
_atom_site_fract_z
_atom_site_occupancy
V1 V 0.0050 0.0050 0.2504 1
V2 V 0.9950 0.9950 0.7496 1
Fe1 Fe 0.3341 0.3341 0.9183 1
Fe2 Fe 0.6659 0.6659 0.0817 1
Co1 Co 0.3388 0.3388 0.4135 1
Co2 Co 0.6612 0.6612 0.5865 1
# Energy of formation from the pure elements   -88 meV/atom

=====

# PBE KAl2Ir, optimized geometry
data_KAl2Ir
_cell_length_a 5.0242
_cell_length_b 5.0242
_cell_length_c 2.9837
_cell_angle_alpha 90.00
_cell_angle_beta 90.00
_cell_angle_gamma 104.97
_symmetry_space_group_name_H-M 'P 1'
_symmetry_Int_Tables_number 1
_symmetry_space_group_name_Hall 'P 1'
loop_
_atom_site_label
_atom_site_type_symbol
_atom_site_fract_x
_atom_site_fract_y
_atom_site_fract_z
_atom_site_occupancy
K1 K 0.0000 0.0000 0.0000 1
Al1 Al 0.0000 0.5000 0.5000 1
Al2 Al 0.5000 0.0000 0.5000 1
Ir1 Ir 0.5000 0.5000 0.0000 1
# Energy of formation from the pure elements   574 meV/atom